VASP calculation (PBE) on a relaxed structure of CaReBr2.

Lattice parameters (Å, degrees): 6.8345 9.1024 3.5516 90.00 120.19 90.00
Last column: nearest neighbours and their distance in Å.
Space group C2/m (No. 12)
Symmetry-distinct sites (fractional):
Ca 0.0000 0.0000 0.0000  4 Br 2.85
Re 0.0000 0.5000 0.0000  4 Br 2.85
Br 0.2500 0.2500 0.0000  2 Re 2.85, 2 Ca 2.85

Summary:
**Total energy**: -33.088 eV per cell
**Polymorph energy (0 for the lowest one)**: 346 meV/atom
**ΔE_f (raw)**: 1.3 eV/f.u.
**Density**: 6.71 g/cm3
**M_tot**: 2.71 μB per formula unit